Compound: YHoAlTe3
Source: OQMD via LeMat-Bulk
Functional: PBE-GGA
Structure: optimized geometry

Output
crystal system: orthorhombic
E: -4.944 eV per atom
space group: Cmcm, No. 63

Lattice parameters (Å, degrees): 7.929 7.929 10.469 90.00 90.00 150.21
Element x y z (fractional)
Y  0.000  0.000  0.000
Y  0.000  0.000  0.500
Ho  0.219  0.781  0.750
Ho  0.781  0.219  0.250
Al  0.477  0.523  0.250
Al  0.523  0.477  0.750
Te  0.123  0.877  0.250
Te  0.347  0.653  0.049
Te  0.347  0.653  0.451
Te  0.653  0.347  0.549
Te  0.653  0.347  0.951
Te  0.877  0.123  0.750